Density functional theory data (GGA-PBE) for crystalline SmHo4Er4 at its relaxed geometry.

Output
ΔH_f (0 K) = 22 meV/atom
Crystal system = tetragonal
Total DFT energy (no corrections) = -4.565 eV per atom
Polymorph energy (0 for the lowest one) = 0 meV per atom

abc: 7.8902 7.8902 7.8902
angles: 95.71 95.71 143.24
Positions (direct):
Sm  0.0000  0.0000  0.0000
Ho  0.0000  0.3337  0.3337
Ho  0.0000  0.6663  0.6663
Ho  0.3337  0.0000  0.3337
Ho  0.6663  0.0000  0.6663
Er  0.3328  0.3328  0.6656
Er  0.3328  0.6672  0.0000
Er  0.6672  0.3328  0.0000
Er  0.6672  0.6672  0.3344